# 1
The following is a DFT calculation (GGA-PBE) of crystalline ZrNb2CdN at its relaxed geometry.

Unit cell a=4.278 b=4.278 c=4.629 alpha=90.00 beta=90.00 gamma=90.00
Element x y z (fractional)
Zr (0.000, 0.000, 0.000)
Nb (0.000, 0.500, 0.500)
Nb (0.500, 0.000, 0.500)
Cd (0.500, 0.500, 0.000)
N (0.000, 0.000, 0.500)

Calculated values
Total magnetic moment (μB/f.u.): 0.0
Formation energy without anion corrections (meV/atom): -503
Symmetry: No. 123
Mass density (g cm⁻³): 7.91
Calculated total energy (eV/atom): -8.089

=====

# 2
The following is a DFT calculation (GGA-PBE) of crystalline CeTm2Ta at its relaxed geometry.

Unit cell a=11.725 b=11.725 c=11.725 alpha=15.66 beta=15.66 gamma=15.66
Element x y z (fractional)
Ce (0.000, 0.000, 0.000)
Tm (0.416, 0.416, 0.416)
Tm (0.584, 0.584, 0.584)
Ta (0.500, 0.500, 0.500)

Calculated values
Total magnetic moment (μB/f.u.): 0.0
Symmetry: No. 166
Energy of formation (eV per formula unit): 2.196
Mass density (g cm⁻³): 10.69
Calculated total energy (eV/atom): -6.133

=====

# 3
The following is a DFT calculation (GGA-PBE) of crystalline MnCrCuAu at its relaxed geometry.

Unit cell a=4.787 b=4.787 c=4.787 alpha=132.90 beta=132.90 gamma=68.81
Element x y z (fractional)
Mn (0.000, 0.000, 0.000)
Cr (0.250, 0.750, 0.500)
Cu (0.750, 0.250, 0.500)
Au (0.500, 0.500, 0.000)

Calculated values
E above lowest polymorph (meV/atom): 10
Total magnetic moment (μB/f.u.): 0.0
Symmetry: No. 119
Energy of formation (eV per formula unit): 0.198
Mass density (g cm⁻³): 10.56
Calculated total energy (eV/atom): -6.492

=====

Among the records above, which one has the lowest mass density? ZrNb2CdN